# 1
# NaGa4Au8 | Alexandria via LeMat-Bulk | PBE | relaxed
data_NaGa4Au8
_cell_length_a 7.447
_cell_length_b 7.447
_cell_length_c 7.447
_cell_angle_alpha 56.08
_cell_angle_beta 56.08
_cell_angle_gamma 56.08
_symmetry_space_group_name_H-M 'P 1'
_symmetry_Int_Tables_number 1
loop_
_symmetry_equiv_pos_as_xyz
'x,y,z'
loop_
_atom_site_label
_atom_site_fract_x
_atom_site_fract_y
_atom_site_fract_z
Au1 0.256 0.256 0.847
Ga1 0.000 0.500 0.500
Na1 0.000 0.000 0.000
Au2 0.744 0.744 0.153
Ga2 0.500 0.500 0.000
Au3 0.153 0.744 0.744
Ga3 0.500 0.000 0.500
Au4 0.256 0.847 0.256
Au5 0.744 0.153 0.744
Au6 0.249 0.249 0.249
Ga4 0.500 0.500 0.500
Au7 0.751 0.751 0.751
Au8 0.847 0.256 0.256
# **Energy of formation**: -0.171 eV/f.u.
# **Distance to the lowest polymorph of the same formula**: 157 meV per atom



# 2
# HoEr2Mg | Alexandria via LeMat-Bulk | PBE | relaxed
data_HoEr2Mg
_cell_length_a 5.002
_cell_length_b 5.002
_cell_length_c 9.910
_cell_angle_alpha 104.54
_cell_angle_beta 104.54
_cell_angle_gamma 90.10
_symmetry_space_group_name_H-M 'P 1'
_symmetry_Int_Tables_number 1
loop_
_symmetry_equiv_pos_as_xyz
'x,y,z'
loop_
_atom_site_label
_atom_site_fract_x
_atom_site_fract_y
_atom_site_fract_z
Mg1 0.750 0.250 0.000
Er1 0.131 0.131 0.762
Ho1 0.630 0.630 0.761
Ho2 0.370 0.370 0.239
Mg2 0.250 0.750 0.000
Er2 0.000 0.500 0.500
Er3 0.500 0.000 0.500
Er4 0.869 0.869 0.238
# **Energy of formation**: -0.110 eV/f.u.
# **Distance to the lowest polymorph of the same formula**: 0 meV per atom



# 3
# MgSiRu | Alexandria via LeMat-Bulk | PBE | relaxed
data_MgSiRu
_cell_length_a 2.972
_cell_length_b 2.972
_cell_length_c 6.232
_cell_angle_alpha 90.00
_cell_angle_beta 90.00
_cell_angle_gamma 120.00
_symmetry_space_group_name_H-M 'P 1'
_symmetry_Int_Tables_number 1
loop_
_symmetry_equiv_pos_as_xyz
'x,y,z'
loop_
_atom_site_label
_atom_site_fract_x
_atom_site_fract_y
_atom_site_fract_z
Mg1 0.000 0.000 0.009
Ru1 0.667 0.333 0.361
Si1 0.333 0.667 0.630
# **E_form (uncorrected)**: -0.112 eV/atom



# 4
# RbAuCl3 | Alexandria via LeMat-Bulk | PBE | relaxed
data_RbAuCl3
_cell_length_a 5.161
_cell_length_b 5.161
_cell_length_c 5.161
_cell_angle_alpha 90.00
_cell_angle_beta 90.00
_cell_angle_gamma 90.00
_symmetry_space_group_name_H-M 'P 1'
_symmetry_Int_Tables_number 1
loop_
_symmetry_equiv_pos_as_xyz
'x,y,z'
loop_
_atom_site_label
_atom_site_fract_x
_atom_site_fract_y
_atom_site_fract_z
Cl1 0.000 0.500 0.000
Au1 0.000 0.000 0.000
Cl2 0.000 0.000 0.500
Cl3 0.500 0.000 0.000
Rb1 0.500 0.500 0.500
# **E_form (uncorrected)**: -0.956 eV/atom